1.
Computed, not measured: crystalline KCdI2Cl at its relaxed geometry at the PBE-GGA level of DFT.

Final energy   -2.410 eV/atom
Energy relative to the elements, uncorrected   -5.09 eV/f.u.
Offset from the most stable computed form   0.079 eV per atom

Cell: 5.9940 5.9940 5.2131 Å, 90.00 90.00 90.00°
Space group P4/mmm (No. 123)
Symmetry-distinct sites (fractional):
K 0.0000 0.0000 0.0000 [1 per cell]
Cd 0.5000 0.5000 0.5000 [1 per cell]
I 0.0000 0.5000 0.5000 [2 per cell]
Cl 0.5000 0.5000 0.0000 [1 per cell]

2.
Computed, not measured: crystalline Ce2CuSb3 at its relaxed geometry at the PBE-GGA level of DFT.

Final energy   -5.296 eV/atom
Energy relative to the elements, uncorrected   -3.45 eV/f.u.

Cell: 4.2067 5.0261 16.1746 Å, 90.00 90.00 90.00°
Space group Immm (No. 71)
Symmetry-distinct sites (fractional):
Ce 0.0000 0.0000 0.1450 [4 per cell]
Cu 0.0000 0.0000 0.5000 [2 per cell]
Sb 0.0000 0.0000 0.3385 [4 per cell]
Sb 0.0000 0.5000 0.5000 [2 per cell]

3.
Computed, not measured: crystalline Ti5Ni4Os at its relaxed geometry at the PBE-GGA level of DFT.

Final energy   -7.803 eV/atom
ΔE_f   -0.4202 eV per atom

Cell: 3.0586 3.0586 14.8625 Å, 90.00 90.00 90.00°
Space group P4/mmm (No. 123)
Symmetry-distinct sites (fractional):
Ti 0.0000 0.0000 0.0000 [1 per cell]
Ti 0.0000 0.0000 0.1970 [2 per cell]
Ti 0.0000 0.0000 0.3958 [2 per cell]
Ni 0.5000 0.5000 0.1004 [2 per cell]
Ni 0.5000 0.5000 0.2976 [2 per cell]
Os 0.5000 0.5000 0.5000 [1 per cell]